Below is a relaxed CaDy2ZrO6 crystal, with properties calculated at the PBE level.

SG = R3, No. 146
raw formation energy = -3386 meV per atom

a b c (Å): 6.031 6.031 6.031
angles (deg): 56.95 56.95 56.95
Fractional positions:
Ca  0.000  0.000  0.000
Dy  0.219  0.219  0.219
Dy  0.721  0.721  0.721
Zr  0.509  0.509  0.509
O  0.139  0.413  0.793
O  0.334  0.893  0.598
O  0.413  0.793  0.139
O  0.598  0.334  0.893
O  0.793  0.139  0.413
O  0.893  0.598  0.334